(1)
Computed, not measured: crystalline Er3Tm2ThTe6 at its relaxed geometry at the GGA-PBE level of DFT.

Cell lengths 4.2450, 8.8713, 9.9065 Å; angles 106.73, 102.37, 90.00 degrees
Fractional positions:
1 Te 0.0002 0.7371 0.0005
2 Te 0.3260 0.9254 0.6521
3 Te 0.9998 0.2629 0.9995
4 Te 0.6740 0.0746 0.3479
5 Te 0.3284 0.4282 0.6567
6 Te 0.6716 0.5718 0.3433
7 Tm 0.1566 0.3075 0.3132
8 Tm 0.8434 0.6925 0.6868
9 Er 0.1592 0.8183 0.3185
10 Er 0.5000 0.5000 0.0000
11 Er 0.8408 0.1817 0.6815
12 Th 0.5000 0.0000 0.0000

Output
size of the total moment = 0.0 μB/f.u.
D(E_F) = 0.550 states/eV per atom
formation energy without anion corrections = -1.1586 eV/atom
V = 29.0 Å³/atom
space-group type = C2/m (12)
raw total energy = -5.23 eV per atom

***

(2)
Computed, not measured: crystalline ErTmTh2Te5 at its relaxed geometry at the GGA-PBE level of DFT.

Cell lengths 5.3818, 5.3818, 11.4824 Å; angles 90.00, 90.00, 90.00 degrees
Fractional positions:
1 Te 0.0000 0.5000 0.5000
2 Te 0.0000 0.0000 0.2460
3 Te 0.5000 0.0000 0.5000
4 Te 0.5000 0.5000 0.0000
5 Te 0.0000 0.0000 0.7540
6 Th 0.5000 0.5000 0.6645
7 Th 0.5000 0.5000 0.3355
8 Er 0.0000 0.0000 0.0000
9 Tm 0.0000 0.0000 0.5000

Output
size of the total moment = 0.0 μB/f.u.
D(E_F) = 0.981 states/eV per atom
formation energy without anion corrections = -0.5294 eV/atom
V = 37.0 Å³/atom
space-group type = P4/mmm (123)
raw total energy = -4.93 eV per atom

***

(3)
Computed, not measured: crystalline Y3Er2ThTe6 at its relaxed geometry at the GGA-PBE level of DFT.

Cell lengths 4.2590, 8.9663, 9.6589 Å; angles 99.14, 102.74, 90.00 degrees
Fractional positions:
1 Te 0.6681 0.5965 0.3363
2 Te 0.6761 0.1051 0.3522
3 Te 0.9926 0.7368 0.9852
4 Te 0.3239 0.8949 0.6478
5 Te 0.0074 0.2632 0.0148
6 Te 0.3319 0.4035 0.6637
7 Er 0.1659 0.3452 0.3317
8 Er 0.8341 0.6548 0.6683
9 Th 0.5000 0.0000 0.0000
10 Y 0.1516 0.8499 0.3033
11 Y 0.5000 0.5000 0.0000
12 Y 0.8484 0.1501 0.6967

Output
size of the total moment = 0.0 μB/f.u.
D(E_F) = 0.690 states/eV per atom
formation energy without anion corrections = -1.2194 eV/atom
V = 29.6 Å³/atom
space-group type = C2/m (12)
raw total energy = -5.79 eV per atom

***

(4)
Computed, not measured: crystalline Y2ErTh3Te6 at its relaxed geometry at the GGA-PBE level of DFT.

Cell lengths 4.2379, 9.1932, 10.1888 Å; angles 110.58, 102.00, 90.00 degrees
Fractional positions:
1 Er 0.5000 0.0000 0.0000
2 Te 0.6624 0.0893 0.3247
3 Te 0.9973 0.7600 0.9946
4 Te 0.6695 0.5753 0.3390
5 Te 0.3305 0.4247 0.6610
6 Te 0.3376 0.9107 0.6753
7 Te 0.0027 0.2400 0.0054
8 Y 0.1671 0.3332 0.3343
9 Y 0.8329 0.6668 0.6657
10 Th 0.8327 0.1667 0.6654
11 Th 0.5000 0.5000 0.0000
12 Th 0.1673 0.8333 0.3346

Output
size of the total moment = 0.0 μB/f.u.
D(E_F) = 0.832 states/eV per atom
formation energy without anion corrections = -1.1391 eV/atom
V = 30.2 Å³/atom
space-group type = C2/m (12)
raw total energy = -6.02 eV per atom

***

(5)
Computed, not measured: crystalline Er2TiTe4 at its relaxed geometry at the GGA-PBE level of DFT.

Cell lengths 4.2056, 7.4888, 8.0054 Å; angles 118.22, 105.23, 90.00 degrees
Fractional positions:
1 Er 0.7436 0.7595 0.4872
2 Er 0.2564 0.2405 0.5128
3 Te 0.1102 0.7857 0.2204
4 Te 0.8898 0.2143 0.7796
5 Te 0.6203 0.2827 0.2406
6 Te 0.3797 0.7173 0.7594
7 Ti 0.0000 0.0000 0.0000

Output
size of the total moment = 1.6 μB/f.u.
D(E_F) = 0.646 states/eV per atom
formation energy without anion corrections = -1.1168 eV/atom
V = 30.3 Å³/atom
space-group type = C2/m (12)
raw total energy = -5.34 eV per atom

***

(6)
Computed, not measured: crystalline ErTi3Te6 at its relaxed geometry at the GGA-PBE level of DFT.

Cell lengths 3.9903, 11.6515, 12.0087 Å; angles 109.36, 90.00, 90.00 degrees
Fractional positions:
1 Te 0.7500 0.4812 0.6178
2 Te 0.2500 0.1970 0.2447
3 Te 0.2500 0.0940 0.9055
4 Te 0.7500 0.7201 0.2768
5 Te 0.7500 0.3780 0.0628
6 Te 0.2500 0.5188 0.3822
7 Te 0.7500 0.9060 0.0945
8 Te 0.7500 0.8030 0.7553
9 Te 0.7500 0.1239 0.4699
10 Te 0.2500 0.8761 0.5301
11 Te 0.2500 0.6220 0.9372
12 Te 0.2500 0.2799 0.7232
13 Ti 0.7500 0.4464 0.8607
14 Ti 0.7500 0.1341 0.0740
15 Ti 0.7500 0.6831 0.5114
16 Ti 0.2500 0.5536 0.1393
17 Ti 0.2500 0.8659 0.9260
18 Ti 0.2500 0.3169 0.4886
19 Er 0.7500 0.0546 0.7010
20 Er 0.2500 0.9454 0.2990

Output
size of the total moment = 2.8 μB/f.u.
D(E_F) = 0.521 states/eV per atom
formation energy without anion corrections = -0.7799 eV/atom
V = 26.3 Å³/atom
space-group type = P2_1/m (11)
raw total energy = -5.49 eV per atom

***

(7)
Computed, not measured: crystalline Er3TiTl3Te8 at its relaxed geometry at the GGA-PBE level of DFT.

Cell lengths 8.5987, 8.5944, 9.6632 Å; angles 116.40, 90.00, 120.02 degrees
Fractional positions:
1 Te 0.2230 0.4459 0.7017
2 Te 0.7559 0.9788 0.7017
3 Te 0.7770 0.5541 0.2983
4 Te 0.7380 0.4759 0.7138
5 Te 0.2620 0.5241 0.2862
6 Te 0.7770 0.0212 0.2983
7 Te 0.2230 0.9788 0.7017
8 Te 0.2441 0.0212 0.2983
9 Tl 0.0000 0.0000 0.0000
10 Tl 0.0000 0.5000 0.0000
11 Tl 0.5000 0.5000 0.0000
12 Ti 0.0000 0.0000 0.5000
13 Er 0.5000 0.0000 0.5000
14 Er 0.0000 0.5000 0.5000
15 Er 0.5000 0.5000 0.5000

Output
size of the total moment = 0.1 μB/f.u.
D(E_F) = 0.086 states/eV per atom
formation energy without anion corrections = -0.9308 eV/atom
V = 35.4 Å³/atom
space-group type = R-3m (166)
raw total energy = -4.52 eV per atom

***

(8)
Computed, not measured: crystalline Er5TlTe5 at its relaxed geometry at the GGA-PBE level of DFT.

Cell lengths 6.1342, 7.5277, 8.6354 Å; angles 106.80, 90.00, 114.04 degrees
Fractional positions:
1 Te 0.3334 0.6667 0.1691
2 Te 0.0000 0.0000 0.5000
3 Te 0.6704 0.3408 0.3360
4 Te 0.3296 0.6592 0.6640
5 Te 0.6666 0.3333 0.8309
6 Er 0.1621 0.3242 0.3296
7 Er 0.8387 0.6775 0.1674
8 Er 0.1613 0.3225 0.8326
9 Er 0.5000 0.0000 0.0000
10 Er 0.8379 0.6758 0.6704
11 Tl 0.0000 0.0000 0.0000

Output
size of the total moment = 0.0 μB/f.u.
D(E_F) = 0.190 states/eV per atom
formation energy without anion corrections = -1.1550 eV/atom
V = 31.4 Å³/atom
space-group type = C2/m (12)
raw total energy = -4.87 eV per atom

***

What did the seventh record say?
Computed, not measured: crystalline Er3TiTl3Te8 at its relaxed geometry at the GGA-PBE level of DFT.

Cell lengths 8.5987, 8.5944, 9.6632 Å; angles 116.40, 90.00, 120.02 degrees
Fractional positions:
1 Te 0.2230 0.4459 0.7017
2 Te 0.7559 0.9788 0.7017
3 Te 0.7770 0.5541 0.2983
4 Te 0.7380 0.4759 0.7138
5 Te 0.2620 0.5241 0.2862
6 Te 0.7770 0.0212 0.2983
7 Te 0.2230 0.9788 0.7017
8 Te 0.2441 0.0212 0.2983
9 Tl 0.0000 0.0000 0.0000
10 Tl 0.0000 0.5000 0.0000
11 Tl 0.5000 0.5000 0.0000
12 Ti 0.0000 0.0000 0.5000
13 Er 0.5000 0.0000 0.5000
14 Er 0.0000 0.5000 0.5000
15 Er 0.5000 0.5000 0.5000

Output
size of the total moment = 0.1 μB/f.u.
D(E_F) = 0.086 states/eV per atom
formation energy without anion corrections = -0.9308 eV/atom
V = 35.4 Å³/atom
space-group type = R-3m (166)
raw total energy = -4.52 eV per atom

***

Please write out number 7 again, unchanged.
Computed, not measured: crystalline Er3TiTl3Te8 at its relaxed geometry at the GGA-PBE level of DFT.

Cell lengths 8.5987, 8.5944, 9.6632 Å; angles 116.40, 90.00, 120.02 degrees
Fractional positions:
1 Te 0.2230 0.4459 0.7017
2 Te 0.7559 0.9788 0.7017
3 Te 0.7770 0.5541 0.2983
4 Te 0.7380 0.4759 0.7138
5 Te 0.2620 0.5241 0.2862
6 Te 0.7770 0.0212 0.2983
7 Te 0.2230 0.9788 0.7017
8 Te 0.2441 0.0212 0.2983
9 Tl 0.0000 0.0000 0.0000
10 Tl 0.0000 0.5000 0.0000
11 Tl 0.5000 0.5000 0.0000
12 Ti 0.0000 0.0000 0.5000
13 Er 0.5000 0.0000 0.5000
14 Er 0.0000 0.5000 0.5000
15 Er 0.5000 0.5000 0.5000

Output
size of the total moment = 0.1 μB/f.u.
D(E_F) = 0.086 states/eV per atom
formation energy without anion corrections = -0.9308 eV/atom
V = 35.4 Å³/atom
space-group type = R-3m (166)
raw total energy = -4.52 eV per atom

***

- Which value of size of the total moment does entry 1 give?
  0.0 μB/f.u.

***

Copy entry 4 word for word.
Computed, not measured: crystalline Y2ErTh3Te6 at its relaxed geometry at the GGA-PBE level of DFT.

Cell lengths 4.2379, 9.1932, 10.1888 Å; angles 110.58, 102.00, 90.00 degrees
Fractional positions:
1 Er 0.5000 0.0000 0.0000
2 Te 0.6624 0.0893 0.3247
3 Te 0.9973 0.7600 0.9946
4 Te 0.6695 0.5753 0.3390
5 Te 0.3305 0.4247 0.6610
6 Te 0.3376 0.9107 0.6753
7 Te 0.0027 0.2400 0.0054
8 Y 0.1671 0.3332 0.3343
9 Y 0.8329 0.6668 0.6657
10 Th 0.8327 0.1667 0.6654
11 Th 0.5000 0.5000 0.0000
12 Th 0.1673 0.8333 0.3346

Output
size of the total moment = 0.0 μB/f.u.
D(E_F) = 0.832 states/eV per atom
formation energy without anion corrections = -1.1391 eV/atom
V = 30.2 Å³/atom
space-group type = C2/m (12)
raw total energy = -6.02 eV per atom